A plane-wave DFT calculation with PBE was carried out for a geometry-optimized TiVCu2 structure.

a = 6.041 Å, b = 6.041 Å, c = 6.041 Å
α = 90.00°, β = 90.00°, γ = 90.00°
Space group Fm-3m (No. 225)
Symmetry-distinct sites (fractional):
Ti1 0.000 0.000 0.000 x4
V1 0.000 0.000 0.500 x4
Cu1 0.250 0.250 0.250 x8

## Properties
For the formation energy, the calculation gives 0.133 eV per atom. Its size of the total moment is 2.824 μB per cell.

---

A plane-wave DFT calculation with PBE was carried out for a geometry-optimized TiV3Cu structure.

a = 4.407 Å, b = 4.407 Å, c = 4.407 Å
α = 90.00°, β = 90.00°, γ = 90.00°
Space group Pm-3m (No. 221)
Symmetry-distinct sites (fractional):
Ti1 0.000 0.000 0.000 x1
V1 0.000 0.500 0.500 x3
Cu1 0.500 0.500 0.500 x1

## Properties
For the formation energy, the calculation gives 1.157 eV per atom. Its size of the total moment is 2.028 μB per cell.

---

A plane-wave DFT calculation with PBE was carried out for a geometry-optimized ZrTiVCu2 structure.

a = 4.492 Å, b = 4.492 Å, c = 4.743 Å
α = 90.00°, β = 90.00°, γ = 90.00°
Space group P4/mmm (No. 123)
Symmetry-distinct sites (fractional):
Zr1 0.000 0.000 0.000 x1
Ti1 0.000 0.000 0.500 x1
V1 0.500 0.500 0.000 x1
Cu1 0.000 0.500 0.500 x2

## Properties
For the formation energy, the calculation gives 1.305 eV per atom. Its size of the total moment is 0.287 μB per cell.

---

A plane-wave DFT calculation with PBE was carried out for a geometry-optimized ZrTiVCu structure.

a = 6.406 Å, b = 6.406 Å, c = 6.406 Å
α = 90.00°, β = 90.00°, γ = 90.00°
Space group F-43m (No. 216)
Symmetry-distinct sites (fractional):
Zr1 0.000 0.000 0.000 x4
Ti1 0.000 0.000 0.500 x4
V1 0.250 0.250 0.750 x4
Cu1 0.250 0.250 0.250 x4

## Properties
For the formation energy, the calculation gives 0.082 eV per atom. Its size of the total moment is 4.972 μB per cell.

---

A plane-wave DFT calculation with PBE was carried out for a geometry-optimized TiCuW structure.

a = 3.170 Å, b = 3.170 Å, c = 8.891 Å
α = 90.00°, β = 90.00°, γ = 90.00°
Space group P4/nmm (No. 129, origin choice 2)
Symmetry-distinct sites (fractional):
Ti1 0.250 0.250 0.233 x2
Cu1 0.250 0.250 0.927 x2
W1 0.250 0.250 0.587 x2

## Properties
For the formation energy, the calculation gives -0.129 eV per atom. Its size of the total moment is 0.000 μB per cell.

---

A plane-wave DFT calculation with PBE was carried out for a geometry-optimized Ti4CuW2 structure.

a = 4.584 Å, b = 4.584 Å, c = 12.554 Å
α = 90.00°, β = 90.00°, γ = 90.00°
Space group I4/mmm (No. 139)
Symmetry-distinct sites (fractional):
Ti1 0.000 0.000 0.194 x4
Ti2 0.000 0.500 0.000 x4
Cu1 0.000 0.000 0.000 x2
W1 0.000 0.000 0.390 x4

## Properties
For the formation energy, the calculation gives 0.931 eV per atom. Its size of the total moment is 0.000 μB per cell.

---

A plane-wave DFT calculation with PBE was carried out for a geometry-optimized TiCuW3 structure.

a = 4.513 Å, b = 4.513 Å, c = 4.513 Å
α = 90.00°, β = 90.00°, γ = 90.00°
Space group Pm-3m (No. 221)
Symmetry-distinct sites (fractional):
Ti1 0.000 0.000 0.000 x1
Cu1 0.500 0.500 0.500 x1
W1 0.000 0.500 0.500 x3

## Properties
For the formation energy, the calculation gives 1.669 eV per atom. Its size of the total moment is 0.000 μB per cell.

---

A plane-wave DFT calculation with PBE was carried out for a geometry-optimized TiCu2W structure.

a = 6.101 Å, b = 6.101 Å, c = 6.101 Å
α = 90.00°, β = 90.00°, γ = 90.00°
Space group Fm-3m (No. 225)
Symmetry-distinct sites (fractional):
Ti1 0.000 0.000 0.000 x4
Cu1 0.250 0.250 0.250 x8
W1 0.000 0.000 0.500 x4

## Properties
For the formation energy, the calculation gives 0.271 eV per atom. Its size of the total moment is 0.000 μB per cell.

---

A plane-wave DFT calculation with PBE was carried out for a geometry-optimized TiCu2W structure.

a = 3.599 Å, b = 3.599 Å, c = 18.967 Å
α = 90.00°, β = 90.00°, γ = 90.00°
Space group I-42d (No. 122)
Symmetry-distinct sites (fractional):
Ti1 0.000 0.000 0.000 x4
Cu1 0.245 0.250 0.625 x8
W1 0.000 0.000 0.500 x4

## Properties
For the formation energy, the calculation gives 0.650 eV per atom. Its size of the total moment is 0.000 μB per cell.

---

A plane-wave DFT calculation with PBE was carried out for a geometry-optimized TiCu3W structure.

a = 4.595 Å, b = 4.595 Å, c = 4.595 Å
α = 90.00°, β = 90.00°, γ = 90.00°
Space group Pm-3m (No. 221)
Symmetry-distinct sites (fractional):
Ti1 0.000 0.000 0.000 x1
Cu1 0.000 0.500 0.500 x3
W1 0.500 0.500 0.500 x1

## Properties
For the formation energy, the calculation gives 1.509 eV per atom. Its size of the total moment is 0.001 μB per cell.

---

A plane-wave DFT calculation with PBE was carried out for a geometry-optimized TiCuW3 structure.

a = 4.557 Å, b = 4.557 Å, c = 4.557 Å
α = 90.00°, β = 90.00°, γ = 90.00°
Space group Pm-3m (No. 221)
Symmetry-distinct sites (fractional):
Ti1 0.000 0.000 0.000 x1
Cu1 0.500 0.500 0.500 x1
W1 0.000 0.000 0.500 x3

## Properties
For the formation energy, the calculation gives 2.045 eV per atom. Its size of the total moment is 0.000 μB per cell.

---

A plane-wave DFT calculation with PBE was carried out for a geometry-optimized Ti2Cu2W structure.

a = 7.121 Å, b = 7.121 Å, c = 2.903 Å
α = 90.00°, β = 90.00°, γ = 90.00°
Space group P4/mbm (No. 127)
Symmetry-distinct sites (fractional):
Ti1 0.180 0.320 0.000 x4
Cu1 0.119 0.619 0.500 x4
W1 0.000 0.000 0.500 x2

## Properties
For the formation energy, the calculation gives 0.120 eV per atom. Its size of the total moment is 0.000 μB per cell.

---

A plane-wave DFT calculation with PBE was carried out for a geometry-optimized TiCuW2 structure.

a = 6.229 Å, b = 6.229 Å, c = 6.229 Å
α = 90.00°, β = 90.00°, γ = 90.00°
Space group Fm-3m (No. 225)
Symmetry-distinct sites (fractional):
Ti1 0.000 0.000 0.000 x4
Cu1 0.000 0.000 0.500 x4
W1 0.250 0.250 0.250 x8

## Properties
For the formation energy, the calculation gives 0.453 eV per atom. Its size of the total moment is 0.000 μB per cell.

---

A plane-wave DFT calculation with PBE was carried out for a geometry-optimized TiCuW2 structure.

a = 7.099 Å, b = 7.099 Å, c = 5.189 Å
α = 90.00°, β = 90.00°, γ = 90.00°
Space group I-42d (No. 122)
Symmetry-distinct sites (fractional):
Ti1 0.000 0.000 0.000 x4
Cu1 0.000 0.000 0.500 x4
W1 0.230 0.750 0.625 x8

## Properties
For the formation energy, the calculation gives 0.785 eV per atom. Its size of the total moment is 0.000 μB per cell.

---

A plane-wave DFT calculation with PBE was carried out for a geometry-optimized YTiCuW2 structure.

a = 4.589 Å, b = 4.589 Å, c = 5.243 Å
α = 90.00°, β = 90.00°, γ = 90.00°
Space group P4/mmm (No. 123)
Symmetry-distinct sites (fractional):
Y1 0.000 0.000 0.000 x1
Ti1 0.000 0.000 0.500 x1
Cu1 0.500 0.500 0.000 x1
W1 0.000 0.500 0.500 x2

## Properties
For the formation energy, the calculation gives 1.637 eV per atom. Its size of the total moment is 0.000 μB per cell.

---

A plane-wave DFT calculation with PBE was carried out for a geometry-optimized ZrTi2CuW structure.

a = 4.755 Å, b = 4.755 Å, c = 5.104 Å
α = 90.00°, β = 90.00°, γ = 90.00°
Space group P4/mmm (No. 123)
Symmetry-distinct sites (fractional):
Zr1 0.000 0.000 0.000 x1
Ti1 0.000 0.500 0.500 x2
Cu1 0.500 0.500 0.000 x1
W1 0.000 0.000 0.500 x1

## Properties
For the formation energy, the calculation gives 1.070 eV per atom. Its size of the total moment is 0.000 μB per cell.

---

A plane-wave DFT calculation with PBE was carried out for a geometry-optimized ZrTiCuW structure.

a = 6.455 Å, b = 6.455 Å, c = 6.455 Å
α = 90.00°, β = 90.00°, γ = 90.00°
Space group F-43m (No. 216)
Symmetry-distinct sites (fractional):
Zr1 0.000 0.000 0.000 x4
Ti1 0.000 0.000 0.500 x4
Cu1 0.250 0.250 0.250 x4
W1 0.250 0.250 0.750 x4

## Properties
For the formation energy, the calculation gives 0.028 eV per atom. Its size of the total moment is 0.000 μB per cell.

---

A plane-wave DFT calculation with PBE was carried out for a geometry-optimized YTi2Cu2 structure.

a = 4.296 Å, b = 4.296 Å, c = 10.405 Å
α = 90.00°, β = 90.00°, γ = 90.00°
Space group I4/mmm (No. 139)
Symmetry-distinct sites (fractional):
Y1 0.000 0.000 0.000 x2
Ti1 0.000 0.000 0.369 x4
Cu1 0.000 0.500 0.250 x4

## Properties
For the formation energy, the calculation gives 0.203 eV per atom. Its size of the total moment is 0.843 μB per cell.

---

A plane-wave DFT calculation with PBE was carried out for a geometry-optimized YTi2Cu2 structure.

a = 3.950 Å, b = 3.950 Å, c = 11.949 Å
α = 90.00°, β = 90.00°, γ = 90.00°
Space group I4/mmm (No. 139)
Symmetry-distinct sites (fractional):
Y1 0.000 0.000 0.000 x2
Ti1 0.000 0.500 0.250 x4
Cu1 0.000 0.000 0.398 x4

## Properties
For the formation energy, the calculation gives 0.014 eV per atom. Its size of the total moment is 5.541 μB per cell.

---

A plane-wave DFT calculation with PBE was carried out for a geometry-optimized YTiCu4 structure.

a = 7.201 Å, b = 7.201 Å, c = 7.201 Å
α = 90.00°, β = 90.00°, γ = 90.00°
Space group F-43m (No. 216)
Symmetry-distinct sites (fractional):
Y1 0.000 0.000 0.000 x4
Ti1 0.250 0.250 0.750 x4
Cu1 0.124 0.124 0.376 x16

## Properties
For the formation energy, the calculation gives -0.035 eV per atom. Its size of the total moment is 4.142 μB per cell.

---

A plane-wave DFT calculation with PBE was carried out for a geometry-optimized YTi2Cu2 structure.

a = 7.513 Å, b = 7.513 Å, c = 3.122 Å
α = 90.00°, β = 90.00°, γ = 90.00°
Space group P4/mbm (No. 127)
Symmetry-distinct sites (fractional):
Y1 0.000 0.000 0.000 x2
Ti1 0.165 0.335 0.500 x4
Cu1 0.123 0.623 0.000 x4

## Properties
For the formation energy, the calculation gives 0.080 eV per atom. Its size of the total moment is 1.012 μB per cell.

---

A plane-wave DFT calculation with PBE was carried out for a geometry-optimized YTi2Cu2 structure.

a = 7.769 Å, b = 7.769 Å, c = 2.890 Å
α = 90.00°, β = 90.00°, γ = 90.00°
Space group P4/mbm (No. 127)
Symmetry-distinct sites (fractional):
Y1 0.000 0.000 0.000 x2
Ti1 0.121 0.379 0.000 x4
Cu1 0.174 0.674 0.500 x4

## Properties
For the formation energy, the calculation gives 0.084 eV per atom. Its size of the total moment is 4.468 μB per cell.

---

A plane-wave DFT calculation with PBE was carried out for a geometry-optimized Y3TiCu structure.

a = 5.305 Å, b = 5.305 Å, c = 5.305 Å
α = 90.00°, β = 90.00°, γ = 90.00°
Space group Pm-3m (No. 221)
Symmetry-distinct sites (fractional):
Y1 0.000 0.000 0.500 x3
Ti1 0.500 0.500 0.500 x1
Cu1 0.000 0.000 0.000 x1

## Properties
For the formation energy, the calculation gives 0.437 eV per atom. Its size of the total moment is 2.479 μB per cell.

---

A plane-wave DFT calculation with PBE was carried out for a geometry-optimized YTiCu3 structure.

a = 4.627 Å, b = 4.627 Å, c = 4.627 Å
α = 90.00°, β = 90.00°, γ = 90.00°
Space group Pm-3m (No. 221)
Symmetry-distinct sites (fractional):
Y1 0.000 0.000 0.000 x1
Ti1 0.500 0.500 0.500 x1
Cu1 0.000 0.500 0.500 x3

## Properties
For the formation energy, the calculation gives 0.483 eV per atom. Its size of the total moment is 0.619 μB per cell.

---

A plane-wave DFT calculation with PBE was carried out for a geometry-optimized YTiCu3 structure.

a = 4.820 Å, b = 4.820 Å, c = 4.820 Å
α = 90.00°, β = 90.00°, γ = 90.00°
Space group Pm-3m (No. 221)
Symmetry-distinct sites (fractional):
Y1 0.000 0.000 0.000 x1
Ti1 0.500 0.500 0.500 x1
Cu1 0.000 0.000 0.500 x3

## Properties
For the formation energy, the calculation gives 1.300 eV per atom. Its size of the total moment is 0.000 μB per cell.

---

A plane-wave DFT calculation with PBE was carried out for a geometry-optimized Y3TiCu structure.

a = 5.308 Å, b = 5.308 Å, c = 5.308 Å
α = 90.00°, β = 90.00°, γ = 90.00°
Space group Pm-3m (No. 221)
Symmetry-distinct sites (fractional):
Y1 0.000 0.000 0.500 x3
Ti1 0.000 0.000 0.000 x1
Cu1 0.500 0.500 0.500 x1

## Properties
For the formation energy, the calculation gives 0.736 eV per atom. Its size of the total moment is 0.000 μB per cell.

---

A plane-wave DFT calculation with PBE was carried out for a geometry-optimized YTiZnCu structure.

a = 6.685 Å, b = 6.685 Å, c = 6.685 Å
α = 90.00°, β = 90.00°, γ = 90.00°
Space group F-43m (No. 216)
Symmetry-distinct sites (fractional):
Y1 0.000 0.000 0.000 x4
Ti1 0.000 0.000 0.500 x4
Zn1 0.250 0.250 0.750 x4
Cu1 0.250 0.250 0.250 x4

## Properties
For the formation energy, the calculation gives -0.087 eV per atom. Its size of the total moment is 6.009 μB per cell.

---

A plane-wave DFT calculation with PBE was carried out for a geometry-optimized YZrTiCu2 structure.

a = 4.850 Å, b = 4.850 Å, c = 5.123 Å
α = 90.00°, β = 90.00°, γ = 90.00°
Space group P4/mmm (No. 123)
Symmetry-distinct sites (fractional):
Y1 0.000 0.000 0.000 x1
Zr1 0.000 0.000 0.500 x1
Ti1 0.500 0.500 0.500 x1
Cu1 0.000 0.500 0.000 x2

## Properties
For the formation energy, the calculation gives 1.387 eV per atom. Its size of the total moment is 1.967 μB per cell.